Computed, not measured: a geometry-optimized SrSm2Se structure at the PBE level of DFT.

Cell lengths 10.903, 10.903, 10.903 Å; angles 21.00, 21.00, 21.00 degrees
Positions (direct):
Sr: 0.000 0.000 0.000
Sm: 0.113 0.113 0.113
Sm: 0.887 0.887 0.887
Se: 0.500 0.500 0.500

Results
Energy relative to the elements, uncorrected   -2.64 eV/f.u.
Space-group type   No. 166


Computed, not measured: a geometry-optimized LiPd2Pb2 structure at the PBE level of DFT.

Cell lengths 4.673, 4.627, 9.803 Å; angles 90.00, 90.05, 90.00 degrees
Positions (direct):
Li: 0.249 0.250 0.335
Li: 0.751 0.750 0.665
Pd: 0.250 0.750 0.178
Pd: 0.251 0.750 0.492
Pd: 0.749 0.250 0.508
Pd: 0.750 0.250 0.822
Pb: 0.249 0.250 0.664
Pb: 0.250 0.250 0.010
Pb: 0.750 0.750 0.990
Pb: 0.751 0.750 0.336

Results
Space-group type   No. 11
Energy above the most stable polymorph in this dataset   0.00 kJ/mol of atoms


Computed, not measured: a geometry-optimized GaPH4O6 structure at the PBE level of DFT.

Cell lengths 8.707, 9.842, 10.125 Å; angles 90.00, 90.00, 90.00 degrees
Positions (direct):
Ga: 0.155 0.169 0.133
Ga: 0.155 0.331 0.633
Ga: 0.345 0.669 0.133
Ga: 0.345 0.831 0.633
Ga: 0.655 0.169 0.367
Ga: 0.655 0.331 0.867
Ga: 0.845 0.669 0.367
Ga: 0.845 0.831 0.867
P: 0.027 0.645 0.649
P: 0.027 0.855 0.149
P: 0.473 0.145 0.649
P: 0.473 0.355 0.149
P: 0.527 0.645 0.851
P: 0.527 0.855 0.351
P: 0.973 0.145 0.851
P: 0.973 0.355 0.351
H: 0.148 0.564 0.967
H: 0.148 0.936 0.467
H: 0.158 0.582 0.323
H: 0.158 0.918 0.823
H: 0.196 0.177 0.377
H: 0.196 0.323 0.877
H: 0.208 0.047 0.573
H: 0.208 0.453 0.073
H: 0.292 0.547 0.573
H: 0.292 0.953 0.073
H: 0.304 0.677 0.377
H: 0.304 0.823 0.877
H: 0.342 0.082 0.323
H: 0.342 0.418 0.823
H: 0.352 0.064 0.967
H: 0.352 0.436 0.467
H: 0.648 0.564 0.533
H: 0.648 0.936 0.033
H: 0.658 0.582 0.177
H: 0.658 0.918 0.677
H: 0.696 0.177 0.123
H: 0.696 0.323 0.623
H: 0.708 0.047 0.927
H: 0.708 0.453 0.427
H: 0.792 0.547 0.927
H: 0.792 0.953 0.427
H: 0.804 0.677 0.123
H: 0.804 0.823 0.623
H: 0.842 0.082 0.177
H: 0.842 0.418 0.677
H: 0.852 0.064 0.533
H: 0.852 0.436 0.033
O: 0.008 0.012 0.147
O: 0.008 0.488 0.647
O: 0.009 0.205 0.713
O: 0.009 0.295 0.213
O: 0.088 0.210 0.952
O: 0.088 0.290 0.452
O: 0.171 0.550 0.061
O: 0.171 0.950 0.561
O: 0.197 0.677 0.611
O: 0.197 0.823 0.111
O: 0.231 0.108 0.310
O: 0.231 0.392 0.810
O: 0.269 0.608 0.310
O: 0.269 0.892 0.810
O: 0.303 0.177 0.611
O: 0.303 0.323 0.111
O: 0.329 0.050 0.061
O: 0.329 0.450 0.561
O: 0.412 0.710 0.952
O: 0.412 0.790 0.452
O: 0.491 0.705 0.713
O: 0.491 0.795 0.213
O: 0.492 0.512 0.147
O: 0.492 0.988 0.647
O: 0.508 0.012 0.353
O: 0.508 0.488 0.853
O: 0.509 0.205 0.787
O: 0.509 0.295 0.287
O: 0.588 0.210 0.548
O: 0.588 0.290 0.048
O: 0.671 0.550 0.439
O: 0.671 0.950 0.939
O: 0.697 0.677 0.889
O: 0.697 0.823 0.389
O: 0.731 0.108 0.190
O: 0.731 0.392 0.690
O: 0.769 0.608 0.190
O: 0.769 0.892 0.690
O: 0.803 0.177 0.889
O: 0.803 0.323 0.389
O: 0.829 0.050 0.439
O: 0.829 0.450 0.939
O: 0.912 0.710 0.548
O: 0.912 0.790 0.048
O: 0.991 0.705 0.787
O: 0.991 0.795 0.287
O: 0.992 0.512 0.353
O: 0.992 0.988 0.853

Results
Space-group type   No. 61


Computed, not measured: a geometry-optimized Mn2CrAg structure at the PBE level of DFT.

Cell lengths 8.678, 8.678, 8.678 Å; angles 18.28, 18.28, 18.28 degrees
Positions (direct):
Mn: 0.241 0.241 0.241
Mn: 0.759 0.759 0.759
Cr: 0.500 0.500 0.500
Ag: 0.000 0.000 0.000

Results
Space-group type   No. 166
Energy above the most stable polymorph in this dataset   12.41 kJ/mol of atoms


Computed, not measured: a geometry-optimized LaInFeN2 structure at the PBE level of DFT.

Cell lengths 4.200, 4.200, 4.666 Å; angles 90.00, 90.00, 90.00 degrees
Positions (direct):
La: 0.000 0.000 0.000
In: 0.500 0.500 0.000
Fe: 0.500 0.500 0.500
N: 0.000 0.500 0.500
N: 0.500 0.000 0.500

Results
Energy relative to the elements, uncorrected   3.32 eV/f.u.
Space-group type   No. 123


Computed, not measured: a geometry-optimized Ti2PbO structure at the PBE level of DFT.

Cell lengths 6.912, 6.912, 6.912 Å; angles 27.78, 27.78, 27.78 degrees
Positions (direct):
Ti: 0.214 0.214 0.214
Ti: 0.786 0.786 0.786
Pb: 0.000 0.000 0.000
O: 0.500 0.500 0.500

Results
Energy relative to the elements, uncorrected   -4.55 eV/f.u.
Space-group type   No. 166
Energy above the most stable polymorph in this dataset   0.00 kJ/mol of atoms


no.,uncorrected energy (eV per atom)
1,-4.31
2,-4.26
3,-5.88
4,-7.33
5,-5.89
6,-7.25